[1]
Here is a relaxed structure of Ca2HfMnPd from the Alexandria database. Energies are from PBE-GGA.

POSCAR file:
```
Ca2HfMnPd
1.0
5.262 0.000 0.000
0.000 5.262 0.000
0.000 0.000 4.705
Ca Hf Mn Pd
2 1 1 1
Direct
0.000 0.500 0.000
0.500 0.000 0.000
0.000 0.000 0.500
0.000 0.000 0.000
0.500 0.500 0.500
```

Properties
* total moment: 1.41 μB/f.u.
* uncorrected energy: -25.62 eV per cell
* energy of formation from the pure elements: 539 meV/atom

=====

[2]
Here is a relaxed structure of Sr2CaHfMn from the Alexandria database. Energies are from PBE-GGA.

POSCAR file:
```
Sr2CaHfMn
1.0
5.968 0.000 0.000
0.000 5.968 0.000
0.000 0.000 5.254
Sr Ca Hf Mn
2 1 1 1
Direct
0.000 0.500 0.000
0.500 0.000 0.000
0.000 0.000 0.000
0.000 0.000 0.500
0.500 0.500 0.500
```

Properties
* total moment: 0.09 μB/f.u.
* uncorrected energy: -14.40 eV per cell
* energy of formation from the pure elements: 2017 meV/atom

=====

[3]
Here is a relaxed structure of CaYHfMn2 from the Alexandria database. Energies are from PBE-GGA.

POSCAR file:
```
CaYHfMn2
1.0
4.541 0.000 0.000
0.000 4.541 0.000
0.000 0.000 4.895
Ca Y Hf Mn
1 1 1 2
Direct
0.000 0.000 0.000
0.000 0.000 0.500
0.500 0.500 0.500
0.000 0.500 0.000
0.500 0.000 0.000
```

Properties
* total moment: 0.00 μB/f.u.
* uncorrected energy: -27.31 eV per cell
* energy of formation from the pure elements: 1889 meV/atom

=====

[4]
Here is a relaxed structure of CaHfMnZn2 from the Alexandria database. Energies are from PBE-GGA.

POSCAR file:
```
CaHfMnZn2
1.0
5.219 0.000 0.000
0.000 5.219 0.000
0.000 0.000 4.709
Ca Hf Mn Zn
1 1 1 2
Direct
0.000 0.000 0.000
0.500 0.500 0.500
0.500 0.500 0.000
0.000 0.500 0.500
0.500 0.000 0.500
```

Properties
* total moment: 2.30 μB/f.u.
* uncorrected energy: -20.63 eV per cell
* energy of formation from the pure elements: 609 meV/atom

=====

[5]
Here is a relaxed structure of CaHf2Mo2 from the Alexandria database. Energies are from PBE-GGA.

POSCAR file:
```
CaHf2Mo2
1.0
8.063 0.000 0.000
0.000 8.063 0.000
0.000 0.000 3.290
Ca Hf Mo
2 4 4
Direct
0.000 0.000 0.000
0.500 0.500 0.000
0.143 0.357 0.500
0.357 0.857 0.500
0.643 0.143 0.500
0.857 0.643 0.500
0.139 0.639 0.000
0.361 0.139 0.000
0.639 0.861 0.000
0.861 0.361 0.000
```

Properties
* total moment: 0.00 μB/f.u.
* uncorrected energy: -83.89 eV per cell
* energy of formation from the pure elements: 325 meV/atom

=====

[6]
Here is a relaxed structure of CaHf3Mo from the Alexandria database. Energies are from PBE-GGA.

POSCAR file:
```
CaHf3Mo
1.0
4.840 0.000 0.000
0.000 4.840 0.000
0.000 0.000 4.840
Ca Hf Mo
1 3 1
Direct
0.000 0.000 0.000
0.000 0.000 0.500
0.000 0.500 0.000
0.500 0.000 0.000
0.500 0.500 0.500
```

Properties
* total moment: 0.00 μB/f.u.
* energy above the lowest structure with this stoichiometry: 1573 meV per atom
* uncorrected energy: -31.90 eV per cell
* energy of formation from the pure elements: 2158 meV/atom

=====

[7]
Here is a relaxed structure of Ca3HfMo from the Alexandria database. Energies are from PBE-GGA.

POSCAR file:
```
Ca3HfMo
1.0
5.377 0.000 0.000
0.000 5.377 0.000
0.000 0.000 5.377
Ca Hf Mo
3 1 1
Direct
0.000 0.000 0.500
0.000 0.500 0.000
0.500 0.000 0.000
0.500 0.500 0.500
0.000 0.000 0.000
```

Properties
* total moment: 0.00 μB/f.u.
* uncorrected energy: -20.26 eV per cell
* energy of formation from the pure elements: 1307 meV/atom

=====

[8]
Here is a relaxed structure of CaHf3Mo from the Alexandria database. Energies are from PBE-GGA.

POSCAR file:
```
CaHf3Mo
1.0
5.134 0.000 0.000
0.000 5.134 0.000
0.000 0.000 5.134
Ca Hf Mo
1 3 1
Direct
0.000 0.000 0.000
0.000 0.500 0.500
0.500 0.000 0.500
0.500 0.500 0.000
0.500 0.500 0.500
```

Properties
* total moment: 0.00 μB/f.u.
* energy above the lowest structure with this stoichiometry: 0 meV per atom
* uncorrected energy: -39.77 eV per cell
* energy of formation from the pure elements: 585 meV/atom

=====

[9]
Here is a relaxed structure of Ca3Hf3MoN8 from the Alexandria database. Energies are from PBE-GGA.

POSCAR file:
```
Ca3Hf3MoN8
1.0
3.215 1.856 5.636
-3.215 1.856 5.636
0.000 -3.713 5.636
Ca Hf Mo N
3 3 1 8
Direct
0.000 0.500 0.500
0.500 0.000 0.500
0.500 0.500 0.000
0.000 0.000 0.500
0.000 0.500 0.000
0.500 0.000 0.000
0.500 0.500 0.500
0.237 0.237 0.237
0.252 0.724 0.724
0.276 0.276 0.748
0.276 0.748 0.276
0.724 0.252 0.724
0.724 0.724 0.252
0.748 0.276 0.276
0.763 0.763 0.763
```

Properties
* total moment: 0.00 μB/f.u.
* ΔE_f (raw): -1835 kJ/mol of formula units
* uncorrected energy: -132.32 eV per cell

=====

[10]
Here is a relaxed structure of CaHf2MoN from the Alexandria database. Energies are from PBE-GGA.

POSCAR file:
```
CaHf2MoN
1.0
4.852 0.000 0.000
0.000 4.852 0.000
0.000 0.000 5.665
Ca Hf Mo N
1 2 1 1
Direct
0.000 0.000 0.000
0.000 0.500 0.500
0.500 0.000 0.500
0.000 0.000 0.500
0.500 0.500 0.000
```

Properties
* total moment: 0.00 μB/f.u.
* energy above the lowest structure with this stoichiometry: 899 meV per atom
* ΔE_f (raw): 820 kJ/mol of formula units
* uncorrected energy: -32.57 eV per cell

=====

[11]
Here is a relaxed structure of CaHf2MoN from the Alexandria database. Energies are from PBE-GGA.

POSCAR file:
```
CaHf2MoN
1.0
5.370 0.000 0.000
0.000 5.370 0.000
0.000 0.000 3.948
Ca Hf Mo N
1 2 1 1
Direct
0.000 0.000 0.000
0.000 0.500 0.500
0.500 0.000 0.500
0.500 0.500 0.500
0.500 0.500 0.000
```

Properties
* total moment: 0.00 μB/f.u.
* energy above the lowest structure with this stoichiometry: 0 meV per atom
* ΔE_f (raw): 386 kJ/mol of formula units
* uncorrected energy: -37.07 eV per cell

=====

Summary of density in g cm⁻³
5.4; 4.0; 6.9; 5.2; 9.1; 9.8; 4.2; 8.2; 7.1; 6.3; 7.4
(order as listed above)